# 1
YCoAgAs | GGA-PBE | optimized geometry

Output
size of the total moment = 2.908 μB/cell
polymorph energy (0 for the lowest one) = 0.0 kJ per mole of atoms

Cell lengths 6.639, 6.639, 6.639 Å; angles 90.00, 90.00, 90.00 degrees
Space group F-43m (No. 216)
Asymmetric unit:
Y 0.000 0.000 0.000
Co 0.000 0.000 0.500
Ag 0.250 0.250 0.750
As 0.250 0.250 0.250

---

# 2
Sc2Cu2SnGe | GGA-PBE | optimized geometry

Output
size of the total moment = 0.006 μB/cell
DFT total energy = -127.79 eV per cell

Cell lengths 10.565, 4.312, 10.566 Å; angles 90.00, 109.48, 90.00 degrees
Space group Pm (No. 6)
Asymmetric unit:
Sc 0.000 0.000 0.000
Sc 0.117 0.500 0.372
Sc 0.240 0.000 0.745
Sc 0.375 0.500 0.120
Sc 0.506 0.000 0.494
Sc 0.632 0.500 0.879
Sc 0.754 0.000 0.251
Sc 0.876 0.500 0.619
Cu 0.119 0.500 0.621
Cu 0.244 0.000 0.992
Cu 0.380 0.500 0.372
Cu 0.499 0.000 0.747
Cu 0.632 0.500 0.131
Cu 0.753 0.000 0.493
Cu 0.883 0.500 0.877
Cu 0.995 0.000 0.248
Sn 0.249 0.000 0.248
Sn 0.375 0.500 0.622
Sn 0.500 0.000 0.998
Sn 0.752 0.000 0.748
Ge 0.123 0.500 0.872
Ge 0.627 0.500 0.372
Ge 0.875 0.500 0.124
Ge 0.998 0.000 0.496